[1]
Material: NdDyEr2
Method: DFT, GGA-PBE
State: optimized geometry

Cell: 3.5616 3.5616 11.7419 Å, 81.28 81.28 60.00°
Last column: nearest neighbours and their distance in Å.
Fractional positions:
Dy1 0.5000 0.5000 0.5000  6 Er 3.51, 6 Dy 3.56
Nd1 0.0000 0.0000 0.0000  6 Nd 3.56, 6 Er 3.58
Er1 0.7512 0.7512 0.7464  3 Dy 3.51, 6 Er 3.56, 3 Nd 3.58
Er2 0.2488 0.2488 0.2536  3 Dy 3.51, 6 Er 3.56, 3 Nd 3.58

- Density of states at the Fermi level: 1.31 states/eV/atom
- ΔE to the lowest computed polymorph: 20 meV per atom
- Crystal system: trigonal
- Formation enthalpy at 0 K: 0.02 eV per atom
- Energy: -4.6032 eV per atom
- M_tot: 0.0 μB/cell


[2]
Material: Nd7Dy4Er
Method: DFT, GGA-PBE
State: optimized geometry

Cell: 7.2934 6.3269 11.5831 Å, 79.54 51.01 90.01°
Last column: nearest neighbours and their distance in Å.
Fractional positions:
Nd1 0.7471 0.5012 0.0013  3 Dy 3.57-3.62, 7 Nd 3.61-3.67, 2 Er 3.65-3.67
Nd2 0.2529 0.4988 0.9987  3 Dy 3.57-3.62, 7 Nd 3.61-3.67, 2 Er 3.65-3.67
Nd3 0.0827 0.2792 0.6664  6 Dy 3.58-3.67, 5 Nd 3.60-3.66, 1 Er 3.61
Nd4 0.9173 0.7208 0.3336  6 Dy 3.58-3.67, 5 Nd 3.60-3.66, 1 Er 3.61
Nd5 0.3345 0.7787 0.6655  6 Nd 3.58-3.66, 1 Er 3.61, 5 Dy 3.61-3.66
Nd6 0.5000 0.0000 0.0000  4 Dy 3.58-3.61, 6 Nd 3.60-3.65, 2 Er 3.65
Nd7 0.6655 0.2213 0.3345  6 Nd 3.58-3.66, 1 Er 3.61, 5 Dy 3.61-3.66
Dy1 0.4160 0.7225 0.3321  8 Nd 3.57-3.67, 3 Dy 3.59-3.65, 1 Er 3.60
Dy2 0.5840 0.2775 0.6679  8 Nd 3.57-3.67, 3 Dy 3.59-3.65, 1 Er 3.60
Dy3 0.8350 0.7793 0.6647  4 Dy 3.57-3.65, 8 Nd 3.58-3.65
Dy4 0.1650 0.2207 0.3353  4 Dy 3.57-3.65, 8 Nd 3.58-3.65
Er1 0.0000 0.0000 0.0000  2 Dy 3.60, 10 Nd 3.61-3.67

- Density of states at the Fermi level: 1.27 states/eV/atom
- ΔE to the lowest computed polymorph: 0 meV per atom
- Crystal system: triclinic
- Formation enthalpy at 0 K: 0.01 eV per atom
- Energy: -4.6891 eV per atom
- M_tot: 0.0 μB/cell


[3]
Material: Nd4DyEr6
Method: DFT, GGA-PBE
State: optimized geometry

Cell: 9.6945 9.6945 9.6945 Å, 57.95 139.93 139.93°
Last column: nearest neighbours and their distance in Å.
Fractional positions:
Nd1 0.0000 0.6349 0.0144  5 Er 3.40-3.61, 1 Dy 3.47, 1 Nd 3.56
Nd2 0.3794 0.3651 0.3651  5 Er 3.40-3.61, 1 Dy 3.47, 1 Nd 3.56
Nd3 0.0000 0.0144 0.6349  5 Er 3.40-3.61, 1 Dy 3.47, 1 Nd 3.56
Nd4 0.6206 0.9856 0.9856  5 Er 3.40-3.61, 1 Dy 3.47, 1 Nd 3.56
Dy1 0.0000 0.0000 0.0000  8 Er 3.32-3.69, 4 Nd 3.47
Er1 0.0000 0.8027 0.4464  3 Er 3.23-3.35, 5 Nd 3.40-3.61
Er2 0.0000 0.4464 0.8027  3 Er 3.23-3.35, 5 Nd 3.40-3.61
Er3 0.3563 0.5536 0.5536  3 Er 3.23-3.35, 5 Nd 3.40-3.61
Er4 0.5000 0.5000 0.0000  4 Er 3.23, 2 Dy 3.32
Er5 0.6437 0.1973 0.1973  3 Er 3.23-3.35, 5 Nd 3.40-3.61
Er6 0.5000 0.0000 0.5000  4 Er 3.23, 2 Dy 3.32

- Density of states at the Fermi level: 1.25 states/eV/atom
- ΔE to the lowest computed polymorph: 133 meV per atom
- Crystal system: tetragonal
- Formation enthalpy at 0 K: 0.30 eV per atom
- Energy: -4.3429 eV per atom
- M_tot: 0.0 μB/cell


[4]
Material: Nd5Dy5Er
Method: DFT, GGA-PBE
State: optimized geometry

Cell: 6.0119 9.9484 7.0383 Å, 110.55 90.00 107.59°
Last column: nearest neighbours and their distance in Å.
Fractional positions:
Nd1 0.8244 0.6489 0.0686  6 Dy 3.28-3.62, 2 Nd 3.44-3.60, 1 Er 3.54
Nd2 0.8246 0.6491 0.5795  6 Dy 3.28-3.63, 2 Nd 3.44-3.60, 1 Er 3.55
Nd3 0.5000 0.0000 0.0000  2 Dy 2.98, 2 Er 3.01
Nd4 0.1754 0.3509 0.4205  6 Dy 3.28-3.63, 2 Nd 3.44-3.60, 1 Er 3.55
Nd5 0.1756 0.3511 0.9314  6 Dy 3.28-3.62, 2 Nd 3.44-3.60, 1 Er 3.54
Dy1 0.6688 0.3377 0.1701  3 Nd 2.98-3.28
Dy2 0.6224 0.2449 0.6241  4 Dy 3.61-3.70, 6 Nd 3.62-3.96
Dy3 0.0000 0.0000 0.5000  2 Er 3.52, 4 Nd 3.57-3.59, 4 Dy 3.70
Dy4 0.3776 0.7551 0.3759  4 Dy 3.61-3.70, 6 Nd 3.62-3.96
Dy5 0.3312 0.6623 0.8299  3 Nd 2.98-3.28
Er1 0.0000 0.0000 0.0000  2 Nd 3.01

- Density of states at the Fermi level: 1.71 states/eV/atom
- Crystal system: monoclinic
- Formation enthalpy at 0 K: 0.26 eV per atom
- Energy: -4.4144 eV per atom
- M_tot: 0.4 μB/cell


[5]
Material: Nd4DyEr15
Method: DFT, GGA-PBE
State: optimized geometry

Cell: 5.0157 5.0157 24.9728 Å, 90.00 90.00 90.00°
Last column: nearest neighbours and their distance in Å.
Fractional positions:
Nd1 0.0000 0.0000 0.1992  12 Er 3.54-3.55
Nd2 0.0000 0.0000 0.3994  12 Er 3.54-3.55
Nd3 0.0000 0.0000 0.6006  12 Er 3.54-3.55
Nd4 0.0000 0.0000 0.8008  12 Er 3.54-3.55
Dy1 0.0000 0.0000 0.0000  12 Er 3.51-3.55
Er1 0.5000 0.5000 0.0000  8 Er 3.51, 4 Dy 3.55
Er2 0.5000 0.5000 0.1987  8 Er 3.54-3.55, 4 Nd 3.55
Er3 0.5000 0.5000 0.3996  8 Er 3.55, 4 Nd 3.55
Er4 0.5000 0.5000 0.6004  8 Er 3.55, 4 Nd 3.55
Er5 0.5000 0.5000 0.8013  8 Er 3.54-3.55, 4 Nd 3.55
Er6 0.5000 0.0000 0.0985  2 Dy 3.51, 8 Er 3.51-3.55, 2 Nd 3.55
Er7 0.5000 0.0000 0.2991  4 Nd 3.54, 8 Er 3.55
Er8 0.5000 0.0000 0.5000  8 Er 3.55, 4 Nd 3.55
Er9 0.5000 0.0000 0.7009  4 Nd 3.54, 8 Er 3.55
Er10 0.5000 0.0000 0.9015  2 Dy 3.51, 8 Er 3.51-3.55, 2 Nd 3.55
Er11 0.0000 0.5000 0.0985  8 Er 3.51-3.55, 2 Dy 3.51, 2 Nd 3.55
Er12 0.0000 0.5000 0.2991  4 Nd 3.54, 8 Er 3.55
Er13 0.0000 0.5000 0.5000  8 Er 3.55, 4 Nd 3.55
Er14 0.0000 0.5000 0.7009  4 Nd 3.54, 8 Er 3.55
Er15 0.0000 0.5000 0.9015  2 Dy 3.51, 8 Er 3.51-3.55, 2 Nd 3.55

- Density of states at the Fermi level: 1.36 states/eV/atom
- Crystal system: tetragonal
- Formation enthalpy at 0 K: 0.02 eV per atom
- Energy: -4.5825 eV per atom
- M_tot: 0.0 μB/cell


[6]
Material: Nd3Dy8Er
Method: DFT, GGA-PBE
State: optimized geometry

Cell: 8.3912 8.3912 8.3912 Å, 94.97 117.17 117.17°
Last column: nearest neighbours and their distance in Å.
Fractional positions:
Nd1 0.5000 0.7500 0.2500  4 Dy 3.46
Nd2 0.5000 0.2500 0.7500  4 Dy 3.46
Nd3 0.0000 0.5000 0.5000  8 Dy 3.16-3.28
Dy1 0.4893 0.2346 0.2346  1 Er 3.03, 1 Nd 3.16, 2 Dy 3.20-3.25
Dy2 0.5107 0.7452 0.7452  1 Er 3.03, 1 Nd 3.16, 2 Dy 3.20-3.25
Dy3 0.0000 0.7654 0.2548  1 Er 3.03, 1 Nd 3.16, 2 Dy 3.20-3.25
Dy4 0.0000 0.2548 0.7654  1 Er 3.03, 1 Nd 3.16, 2 Dy 3.20-3.25
Dy5 0.2510 0.3711 0.3712  3 Dy 3.10-3.25, 1 Er 3.19, 3 Nd 3.28-3.46
Dy6 0.7490 0.1202 0.1202  3 Dy 3.10-3.25, 1 Er 3.19, 3 Nd 3.28-3.46
Dy7 0.0000 0.6289 0.8798  3 Dy 3.10-3.25, 1 Er 3.19, 3 Nd 3.28-3.46
Dy8 0.0000 0.8798 0.6288  3 Dy 3.10-3.25, 1 Er 3.19, 3 Nd 3.28-3.46
Er1 0.0000 0.0000 0.0000  8 Dy 3.03-3.19

- Density of states at the Fermi level: 1.51 states/eV/atom
- Crystal system: tetragonal
- Formation enthalpy at 0 K: 0.62 eV per atom
- Energy: -4.0199 eV per atom
- M_tot: 0.0 μB/cell


[7]
Material: Nd5Dy2Er3
Method: DFT, GGA-PBE
State: optimized geometry

Cell: 10.0228 10.0208 11.2791 Å, 129.42 129.42 64.58°
Last column: nearest neighbours and their distance in Å.
Fractional positions:
Nd1 0.2712 0.5212 0.0423  3 Nd 3.12-3.41, 4 Er 3.39-3.49, 2 Dy 3.46
Nd2 0.7288 0.4788 0.9577  3 Nd 3.12-3.41, 4 Er 3.39-3.49, 2 Dy 3.46
Nd3 0.0212 0.7712 0.5424  3 Er 3.07-3.40
Nd4 0.5193 0.2693 0.5385  3 Nd 3.12-3.48, 2 Dy 3.41
Nd5 0.9788 0.2288 0.4576  3 Er 3.07-3.40
Nd6 0.4807 0.7307 0.4615  3 Nd 3.12-3.48, 2 Dy 3.41
Nd7 0.8829 0.6343 0.7603  3 Nd 3.41-3.51, 3 Er 3.41-3.78, 2 Dy 3.70-3.76
Nd8 0.1171 0.3657 0.2397  3 Nd 3.41-3.51, 3 Er 3.41-3.78, 2 Dy 3.70-3.76
Nd9 0.3774 0.1260 0.7603  3 Nd 3.41-3.51, 3 Er 3.41-3.78, 2 Dy 3.70-3.76
Nd10 0.6226 0.8740 0.2397  3 Nd 3.41-3.51, 3 Er 3.41-3.78, 2 Dy 3.70-3.76
Dy1 0.7810 0.0337 0.7576  3 Er 3.27-3.47, 4 Nd 3.41-3.53
Dy2 0.2190 0.9663 0.2424  3 Er 3.27-3.47, 4 Nd 3.41-3.53
Dy3 0.4766 0.7239 0.7576  3 Er 3.27-3.47, 4 Nd 3.41-3.53
Dy4 0.5234 0.2761 0.2424  3 Er 3.27-3.47, 4 Nd 3.41-3.53
Er1 0.2271 0.9771 0.9542  3 Nd 3.07-3.41, 2 Dy 3.37
Er2 0.7729 0.0229 0.0458  3 Nd 3.07-3.41, 2 Dy 3.37
Er3 0.7201 0.4713 0.2489  1 Dy 3.27, 5 Nd 3.39-3.51, 1 Er 3.49
Er4 0.2799 0.5287 0.7511  1 Dy 3.27, 5 Nd 3.39-3.51, 1 Er 3.49
Er5 0.0287 0.7776 0.2489  1 Dy 3.27, 5 Nd 3.39-3.51, 1 Er 3.49
Er6 0.9713 0.2224 0.7511  1 Dy 3.27, 5 Nd 3.39-3.51, 1 Er 3.49

- Density of states at the Fermi level: 1.76 states/eV/atom
- ΔE to the lowest computed polymorph: 0 meV per atom
- Crystal system: monoclinic
- Formation enthalpy at 0 K: 0.18 eV per atom
- Energy: -4.4918 eV per atom
- M_tot: 0.0 μB/cell


[8]
Material: Nd2DyEr
Method: DFT, GGA-PBE
State: optimized geometry

Cell: 5.0399 5.1190 5.1190 Å, 90.00 90.00 90.00°
Last column: nearest neighbours and their distance in Å.
Fractional positions:
Dy1 0.5000 0.5000 0.5000  8 Nd 3.59, 4 Er 3.62
Nd1 0.0000 0.0000 0.5000  4 Dy 3.59, 4 Er 3.59, 4 Nd 3.62
Nd2 0.0000 0.5000 0.0000  4 Dy 3.59, 4 Er 3.59, 4 Nd 3.62
Er1 0.5000 0.0000 0.0000  8 Nd 3.59, 4 Dy 3.62

- Density of states at the Fermi level: 1.59 states/eV/atom
- ΔE to the lowest computed polymorph: 7 meV per atom
- Crystal system: tetragonal
- Formation enthalpy at 0 K: 0.02 eV per atom
- Energy: -4.6549 eV per atom
- M_tot: 0.0 μB/cell


[9]
Material: Nd6DyEr2
Method: DFT, GGA-PBE
State: optimized geometry

Cell: 6.2524 10.1335 10.1335 Å, 71.53 85.04 85.04°
Last column: nearest neighbours and their distance in Å.
Fractional positions:
Nd1 0.4863 0.6882 0.4073  4 Nd 3.36-3.68, 3 Er 3.45-3.54, 1 Dy 3.54
Nd2 0.0137 0.5927 0.3118  4 Nd 3.36-3.68, 3 Er 3.45-3.54, 1 Dy 3.54
Nd3 0.5137 0.3118 0.5927  4 Nd 3.36-3.68, 3 Er 3.45-3.54, 1 Dy 3.54
Nd4 0.9863 0.4073 0.6882  4 Nd 3.36-3.68, 3 Er 3.45-3.54, 1 Dy 3.54
Nd5 0.6533 0.0744 0.3558  4 Nd 3.35-3.68, 3 Er 3.45-3.54, 1 Dy 3.56
Nd6 0.8467 0.6442 0.9256  4 Nd 3.35-3.68, 3 Er 3.45-3.54, 1 Dy 3.56
Nd7 0.3467 0.9256 0.6442  4 Nd 3.35-3.68, 3 Er 3.45-3.54, 1 Dy 3.56
Nd8 0.1533 0.3558 0.0744  4 Nd 3.35-3.68, 3 Er 3.45-3.54, 1 Dy 3.56
Nd9 0.3195 0.7396 0.0211  4 Nd 3.36-3.68, 2 Dy 3.46-3.53, 2 Er 3.54
Nd10 0.1805 0.9789 0.2604  4 Nd 3.36-3.68, 2 Dy 3.46-3.53, 2 Er 3.54
Nd11 0.6805 0.2604 0.9789  4 Nd 3.36-3.68, 2 Dy 3.46-3.53, 2 Er 3.54
Nd12 0.8195 0.0211 0.7396  4 Nd 3.36-3.68, 2 Dy 3.46-3.53, 2 Er 3.54
Dy1 0.2500 0.0996 0.9004  8 Nd 3.46-3.56
Dy2 0.7500 0.9004 0.0996  8 Nd 3.46-3.56
Er1 0.4159 0.5666 0.7662  8 Nd 3.45-3.54
Er2 0.0841 0.2338 0.4334  8 Nd 3.45-3.54
Er3 0.5841 0.4334 0.2338  8 Nd 3.45-3.54
Er4 0.9159 0.7662 0.5666  8 Nd 3.45-3.54

- Density of states at the Fermi level: 1.38 states/eV/atom
- ΔE to the lowest computed polymorph: 64 meV per atom
- Crystal system: monoclinic
- Formation enthalpy at 0 K: 0.08 eV per atom
- Energy: -4.6211 eV per atom
- M_tot: 0.0 μB/cell


[10]
Material: Nd2Dy9Er
Method: DFT, GGA-PBE
State: optimized geometry

Cell: 5.0371 5.0371 15.1092 Å, 90.00 90.00 90.00°
Last column: nearest neighbours and their distance in Å.
Fractional positions:
Nd1 0.0000 0.0000 0.3324  12 Dy 3.56-3.58
Nd2 0.0000 0.0000 0.6676  12 Dy 3.56-3.58
Dy1 0.5000 0.5000 0.0000  8 Dy 3.53, 4 Er 3.56
Dy2 0.5000 0.5000 0.3317  4 Nd 3.56, 8 Dy 3.57-3.58
Dy3 0.5000 0.5000 0.6683  4 Nd 3.56, 8 Dy 3.57-3.58
Dy4 0.5000 0.0000 0.1642  8 Dy 3.53-3.57, 2 Er 3.53, 2 Nd 3.58
Dy5 0.5000 0.0000 0.5000  8 Dy 3.56-3.58, 4 Nd 3.57
Dy6 0.5000 0.0000 0.8358  8 Dy 3.53-3.57, 2 Er 3.53, 2 Nd 3.58
Dy7 0.0000 0.5000 0.1642  8 Dy 3.53-3.57, 2 Er 3.53, 2 Nd 3.58
Dy8 0.0000 0.5000 0.5000  8 Dy 3.56-3.58, 4 Nd 3.57
Dy9 0.0000 0.5000 0.8358  8 Dy 3.53-3.57, 2 Er 3.53, 2 Nd 3.58
Er1 0.0000 0.0000 0.0000  12 Dy 3.53-3.56

- Density of states at the Fermi level: 1.47 states/eV/atom
- ΔE to the lowest computed polymorph: 0 meV per atom
- Crystal system: tetragonal
- Formation enthalpy at 0 K: 0.02 eV per atom
- Energy: -4.6047 eV per atom
- M_tot: 0.0 μB/cell


[11]
Material: Nd5Dy2Er2
Method: DFT, GGA-PBE
State: optimized geometry

Cell: 13.0007 6.2444 10.2390 Å, 114.23 125.92 85.49°
Last column: nearest neighbours and their distance in Å.
Fractional positions:
Nd1 0.2521 0.7870 0.9163  2 Er 3.56-3.58, 4 Dy 3.60-3.64, 6 Nd 3.62-3.64
Nd2 0.8042 0.0096 0.1392  2 Er 3.57-3.60, 4 Dy 3.60-3.64, 6 Nd 3.60-3.63
Nd3 0.1380 0.3424 0.9715  7 Nd 3.59-3.64, 3 Dy 3.60-3.64, 2 Er 3.61-3.63
Nd4 0.9182 0.4526 0.0849  4 Dy 3.59-3.64, 6 Nd 3.59-3.64, 2 Er 3.60-3.63
Nd5 0.3602 0.2325 0.3619  2 Dy 3.56-3.59, 4 Er 3.60-3.64, 6 Nd 3.62-3.63
Nd6 0.6950 0.5652 0.6945  7 Nd 3.59-3.64, 4 Er 3.60-3.64, 1 Dy 3.61
Nd7 0.4735 0.6764 0.3053  2 Dy 3.56-3.62, 4 Er 3.58-3.64, 6 Nd 3.62-3.63
Nd8 0.5817 0.1208 0.7505  2 Dy 3.56-3.61, 4 Er 3.58-3.64, 6 Nd 3.62-3.63
Nd9 0.0286 0.8983 0.5272  2 Er 3.58-3.62, 4 Dy 3.60-3.63, 6 Nd 3.60-3.63
Nd10 0.9147 0.4554 0.5814  6 Nd 3.59-3.64, 3 Er 3.59-3.60, 3 Dy 3.62-3.65
Dy1 0.0285 0.8993 0.0297  9 Nd 3.59-3.64, 1 Dy 3.60, 2 Er 3.63-3.66
Dy2 0.3626 0.2305 0.8603  6 Nd 3.56-3.64, 2 Dy 3.57-3.60, 4 Er 3.58-3.61
Dy3 0.1420 0.3418 0.4740  7 Nd 3.56-3.65, 3 Er 3.57-3.59, 2 Dy 3.60
Dy4 0.6916 0.5670 0.1932  7 Nd 3.56-3.64, 1 Dy 3.57, 4 Er 3.57-3.60
Er1 0.2505 0.7879 0.4194  4 Dy 3.58-3.63, 7 Nd 3.58-3.64, 1 Er 3.61
Er2 0.8044 0.0094 0.6365  9 Nd 3.58-3.64, 2 Dy 3.59-3.66, 1 Er 3.62
Er3 0.5832 0.1195 0.2477  7 Nd 3.57-3.64, 3 Dy 3.57-3.61, 2 Er 3.58-3.62
Er4 0.4711 0.6766 0.8065  6 Nd 3.56-3.64, 4 Dy 3.57-3.60, 2 Er 3.58-3.61

- Density of states at the Fermi level: 1.38 states/eV/atom
- Crystal system: triclinic
- Formation enthalpy at 0 K: 0.02 eV per atom
- Energy: -4.6673 eV per atom
- M_tot: 0.0 μB/cell


[12]
Material: NdDy6Er3
Method: DFT, GGA-PBE
State: optimized geometry

Cell: 6.1729 10.9332 10.9332 Å, 119.66 90.00 90.00°
Last column: nearest neighbours and their distance in Å.
Fractional positions:
Nd1 0.1520 0.2067 0.7933  3 Er 3.25-3.49, 7 Dy 3.27-3.48
Nd2 0.6520 0.7933 0.2067  3 Er 3.25-3.49, 7 Dy 3.27-3.48
Dy1 0.0312 0.7107 0.6190  4 Er 3.39-3.57, 6 Dy 3.40-3.75
Dy2 0.5312 0.6190 0.7107  4 Er 3.39-3.57, 6 Dy 3.40-3.75
Dy3 0.3641 0.5402 0.9605  5 Dy 3.24-3.43, 2 Nd 3.27-3.43, 2 Er 3.27-3.57
Dy4 0.8641 0.9605 0.5402  5 Dy 3.24-3.43, 2 Nd 3.27-3.43, 2 Er 3.27-3.57
Dy5 0.4146 0.9533 0.0467  1 Nd 3.36, 4 Er 3.51-3.60, 4 Dy 3.56-3.75
Dy6 0.6416 0.2845 0.7155  4 Dy 3.24-3.37, 1 Er 3.32, 2 Nd 3.36-3.48
Dy7 0.1416 0.7155 0.2845  4 Dy 3.24-3.37, 1 Er 3.32, 2 Nd 3.36-3.48
Dy8 0.9146 0.0467 0.9533  1 Nd 3.36, 4 Er 3.51-3.60, 4 Dy 3.56-3.75
Dy9 0.3641 0.0395 0.4598  5 Dy 3.24-3.43, 2 Nd 3.27-3.43, 2 Er 3.27-3.57
Dy10 0.8641 0.4598 0.0395  5 Dy 3.24-3.43, 2 Nd 3.27-3.43, 2 Er 3.27-3.57
Dy11 0.0312 0.3810 0.2893  4 Er 3.39-3.57, 6 Dy 3.40-3.75
Dy12 0.5312 0.2893 0.3810  4 Er 3.39-3.57, 6 Dy 3.40-3.75
Er1 0.4568 0.9357 0.7180  1 Nd 3.25, 6 Dy 3.27-3.60
Er2 0.9568 0.7180 0.9357  1 Nd 3.25, 6 Dy 3.27-3.60
Er3 0.0729 0.3897 0.6103  5 Dy 3.32-3.57, 1 Nd 3.49, 2 Er 3.66
Er4 0.5729 0.6103 0.3897  5 Dy 3.32-3.57, 1 Nd 3.49, 2 Er 3.66
Er5 0.9568 0.0643 0.2820  1 Nd 3.25, 6 Dy 3.27-3.60
Er6 0.4568 0.2820 0.0643  1 Nd 3.25, 6 Dy 3.27-3.60

- Density of states at the Fermi level: 1.37 states/eV/atom
- ΔE to the lowest computed polymorph: 26 meV per atom
- Crystal system: orthorhombic
- Formation enthalpy at 0 K: 0.15 eV per atom
- Energy: -4.4562 eV per atom
- M_tot: 0.0 μB/cell